Material: Dy7YSc3
Method: DFT, PBE-GGA
State: relaxed

```
11
Lattice="8.245 0.000 0.000 0.000 6.944 0.000 0.000 -3.472 6.014" Properties=species:S:1:pos:R:3 pbc="T T T"
Dy 0.862 -1.726 5.006
Dy 0.862 0.000 2.016
Dy 0.978 3.472 2.005
Dy 3.802 5.194 1.010
Dy 3.802 1.750 1.010
Dy 3.802 3.472 3.993
Dy 0.862 1.726 5.006
Y 3.698 0.000 4.009
Sc 6.461 1.740 3.005
Sc 6.461 3.472 0.004
Sc 6.461 5.205 3.005
```

The energy of formation from the pure elements is 2.4 eV/f.u. As for the total energy: -0.369 Ry per atom.